# 1
Below is a relaxed structure of Zn2BH8, with properties calculated at the PBE-GGA level.

N(E_F)   1.5 states/eV/f.u.
Raw total energy   -2.920 eV/atom

CIF file:
```
data_Zn2BH8
_chemical_formula_sum 'Zn4 B2 H16'
_symmetry_space_group_name_H-M 'C 1 2/m 1'
_symmetry_Int_Tables_number 12
_cell_length_a 7.459
_cell_length_b 5.545
_cell_length_c 4.070
_cell_angle_alpha 90.00
_cell_angle_beta 90.66
_cell_angle_gamma 90.00
loop_
_symmetry_equiv_pos_as_xyz
'x,y,z'
'-x,-y,-z'
'-x,y,-z'
'x,-y,z'
'x+1/2,y+1/2,z'
'-x+1/2,-y+1/2,-z'
'-x+1/2,y+1/2,-z'
'x+1/2,-y+1/2,z'
loop_
_atom_site_label
_atom_site_type_symbol
_atom_site_fract_x
_atom_site_fract_y
_atom_site_fract_z
Zn1 Zn 0.117 0.000 0.276
B1 B 0.000 0.500 0.000
H1 H 0.069 0.336 0.199
H2 H 0.111 0.000 0.739
H3 H 0.167 0.500 0.800
```


# 2
Below is a relaxed structure of ZnBH4, with properties calculated at the PBE-GGA level.

Energy above the lowest structure with this stoichiometry   193 meV/atom
N(E_F)   0.5 states/eV/f.u.

CIF file:
```
data_ZnBH4
_chemical_formula_sum 'Zn2 B2 H8'
_symmetry_space_group_name_H-M 'C 1 2/m 1'
_symmetry_Int_Tables_number 12
_cell_length_a 4.229
_cell_length_b 6.526
_cell_length_c 3.404
_cell_angle_alpha 90.00
_cell_angle_beta 92.17
_cell_angle_gamma 90.00
loop_
_symmetry_equiv_pos_as_xyz
'x,y,z'
'-x,-y,-z'
'-x,y,-z'
'x,-y,z'
'x+1/2,y+1/2,z'
'-x+1/2,-y+1/2,-z'
'-x+1/2,y+1/2,-z'
'x+1/2,-y+1/2,z'
loop_
_atom_site_label
_atom_site_type_symbol
_atom_site_fract_x
_atom_site_fract_y
_atom_site_fract_z
Zn1 Zn 0.000 0.000 0.000
B1 B 0.000 0.500 0.000
H1 H 0.003 0.364 0.281
```


# 3
Below is a relaxed structure of ZnB2H6, with properties calculated at the PBE-GGA level.

Energy above the lowest structure with this stoichiometry   119 meV/atom

CIF file:
```
data_ZnB2H6
_chemical_formula_sum 'Zn4 B8 H24'
_symmetry_space_group_name_H-M 'C 1 2/c 1'
_symmetry_Int_Tables_number 15
_cell_length_a 12.261
_cell_length_b 10.242
_cell_length_c 3.387
_cell_angle_alpha 90.00
_cell_angle_beta 93.48
_cell_angle_gamma 90.00
loop_
_symmetry_equiv_pos_as_xyz
'x,y,z'
'-x,-y,-z'
'-x,y,-z+1/2'
'x,-y,z+1/2'
'x+1/2,y+1/2,z'
'-x+1/2,-y+1/2,-z'
'-x+1/2,y+1/2,-z+1/2'
'x+1/2,-y+1/2,z+1/2'
loop_
_atom_site_label
_atom_site_type_symbol
_atom_site_fract_x
_atom_site_fract_y
_atom_site_fract_z
Zn1 Zn 0.000 0.106 0.250
B1 B 0.191 0.435 0.206
H1 H 0.124 0.350 0.133
H2 H 0.148 0.459 0.542
H3 H 0.215 0.091 0.788
```


# 4
Below is a relaxed structure of ZnB2H8, with properties calculated at the PBE-GGA level.

Energy above the lowest structure with this stoichiometry   0 meV/atom
N(E_F)   0.0 states/eV/f.u.

CIF file:
```
data_ZnB2H8
_chemical_formula_sum 'Zn4 B8 H32'
_symmetry_space_group_name_H-M 'I 41 2 2'
_symmetry_Int_Tables_number 98
_symmetry_space_group_name_Hall 'I 4bw 2bw'
_cell_length_a 6.728
_cell_length_b 6.728
_cell_length_c 12.401
_cell_angle_alpha 90.00
_cell_angle_beta 90.00
_cell_angle_gamma 90.00
loop_
_atom_site_label
_atom_site_type_symbol
_atom_site_fract_x
_atom_site_fract_y
_atom_site_fract_z
Zn1 Zn 0.000 0.000 0.000
B1 B 0.070 0.750 0.125
H1 H 0.045 0.242 0.203
H2 H 0.105 0.677 0.386
```


# 5
Below is a relaxed structure of ZnB2H8, with properties calculated at the PBE-GGA level.

Energy above the lowest structure with this stoichiometry   27 meV/atom
N(E_F)   0.0 states/eV/f.u.

CIF file:
```
data_ZnB2H8
_chemical_formula_sum 'Zn2 B4 H16'
_symmetry_space_group_name_H-M 'C 1 2/m 1'
_symmetry_Int_Tables_number 12
_cell_length_a 7.552
_cell_length_b 6.875
_cell_length_c 3.987
_cell_angle_alpha 90.00
_cell_angle_beta 93.04
_cell_angle_gamma 90.00
loop_
_symmetry_equiv_pos_as_xyz
'x,y,z'
'-x,-y,-z'
'-x,y,-z'
'x,-y,z'
'x+1/2,y+1/2,z'
'-x+1/2,-y+1/2,-z'
'-x+1/2,y+1/2,-z'
'x+1/2,-y+1/2,z'
loop_
_atom_site_label
_atom_site_type_symbol
_atom_site_fract_x
_atom_site_fract_y
_atom_site_fract_z
Zn1 Zn 0.000 0.000 0.000
B1 B 0.216 0.000 0.673
H1 H 0.130 0.500 0.230
H2 H 0.147 0.156 0.773
H3 H 0.192 0.000 0.367
```


# 6
Below is a relaxed structure of ZnB2H6, with properties calculated at the PBE-GGA level.

Energy above the lowest structure with this stoichiometry   0 meV/atom
N(E_F)   0.0 states/eV/f.u.

CIF file:
```
data_ZnB2H6
_chemical_formula_sum 'Zn1 B2 H6'
_symmetry_space_group_name_H-M 'P -1'
_symmetry_Int_Tables_number 2
_cell_length_a 4.005
_cell_length_b 4.802
_cell_length_c 4.985
_cell_angle_alpha 113.96
_cell_angle_beta 99.52
_cell_angle_gamma 99.35
loop_
_symmetry_equiv_pos_as_xyz
'x,y,z'
'-x,-y,-z'
loop_
_atom_site_label
_atom_site_type_symbol
_atom_site_fract_x
_atom_site_fract_y
_atom_site_fract_z
Zn1 Zn 0.000 0.000 0.000
B1 B 0.468 0.334 0.333
H1 H 0.269 0.739 0.739
H2 H 0.302 0.101 0.360
H3 H 0.306 0.378 0.118
```